Ti3CoAu: relaxed, GGA-PBE.

It has space group Cmcm (No. 63), with a = 4.080 Å, b = 18.803 Å, c = 4.018 Å, α = 90.00°, β = 90.00° and γ = 90.00°. The asymmetric unit holds Ti at (0.000, 0.051, 0.250), Ti at (0.000, 0.166, 0.750), Ti at (0.000, 0.333, 0.750), Co at (0.000, 0.245, 0.250) and Au at (0.000, 0.444, 0.250).

For the formation energy, the calculation gives -148 kJ/mol of formula units. The energy above the most stable polymorph in this dataset comes out at 0.000 eV/atom. For the energy, the calculation gives -142.41 eV for the cell shown.